The following is a DFT calculation (GGA-PBE) of crystalline BaTl3Pd4 at its relaxed geometry.

a = 5.0547 Å, b = 5.0547 Å, c = 8.1536 Å
α = 90.00°, β = 90.00°, γ = 73.30°
With the nearest neighbours (Å) after each atom.
Sites, in units of the cell vectors:
Tl1 0.0000 0.0000 0.0000  8 Pd 2.88
Tl2 0.5000 0.5000 0.2902  4 Pd 2.71
Tl3 0.5000 0.5000 0.7098  4 Pd 2.71
Ba1 0.0000 0.0000 0.5000  4 Tl 3.47, 8 Pd 3.69
Pd1 0.0000 0.5000 0.1695  4 Tl 2.71-2.88, 3 Pd 2.76-3.02
Pd2 0.0000 0.5000 0.8305  4 Tl 2.71-2.88, 3 Pd 2.76-3.02
Pd3 0.5000 0.0000 0.8305  4 Tl 2.71-2.88, 3 Pd 2.76-3.02
Pd4 0.5000 0.0000 0.1695  4 Tl 2.71-2.88, 3 Pd 2.76-3.02

Formation energy (eV per atom): -0.24
Space-group type: Cmmm

---

The following is a DFT calculation (GGA-PBE) of crystalline AsCS2Cl at its relaxed geometry.

a = 4.7995 Å, b = 4.7995 Å, c = 4.8328 Å
α = 90.00°, β = 90.00°, γ = 90.00°
With the nearest neighbours (Å) after each atom.
Sites, in units of the cell vectors:
C1 0.5000 0.5000 0.5000  4 Cl 3.39, 8 S 3.41
As1 0.0000 0.0000 0.0000  4 S 2.40, 2 Cl 2.42
S1 0.0000 0.5000 0.0000  2 As 2.40
S2 0.5000 0.0000 0.0000  2 As 2.40
Cl1 0.0000 0.0000 0.5000  2 As 2.42

Energy relative to the lowest polymorph listed for this composition (meV/atom): 511
Formation energy (no corrections) (eV per atom): 1.723
Space-group type: P4/mmm

---

The following is a DFT calculation (GGA-PBE) of crystalline In2SiHg at its relaxed geometry.

a = 8.4640 Å, b = 8.4640 Å, c = 8.4640 Å
α = 25.22°, β = 25.22°, γ = 25.22°
With the nearest neighbours (Å) after each atom.
Sites, in units of the cell vectors:
Hg1 0.7587 0.7587 0.7587  3 Si 2.77, 3 In 3.06
In1 0.0028 0.0028 0.0028  3 Hg 3.06, 3 In 3.16
In2 0.2411 0.2411 0.2411  3 Si 2.85, 3 In 3.16
Si1 0.4974 0.4974 0.4974  3 Hg 2.77, 3 In 2.85

Formation energy (no corrections) (eV per atom): 0.280
Space-group type: R3m

---

The following is a DFT calculation (GGA-PBE) of crystalline SmHoBeZn at its relaxed geometry.

a = 4.9832 Å, b = 4.9832 Å, c = 4.9832 Å
α = 60.00°, β = 60.00°, γ = 60.00°
With the nearest neighbours (Å) after each atom.
Sites, in units of the cell vectors:
Be1 0.7500 0.7500 0.7500  4 Sm 3.05, 4 Ho 3.05
Zn1 0.2500 0.2500 0.2500  4 Ho 3.05, 4 Sm 3.05
Ho1 0.5000 0.5000 0.5000  4 Be 3.05, 4 Zn 3.05
Sm1 0.0000 0.0000 0.0000  4 Zn 3.05, 4 Be 3.05

Formation energy (eV per atom): -0.08
Space-group type: F-43m

---

The following is a DFT calculation (GGA-PBE) of crystalline LuHg2Au at its relaxed geometry.

a = 4.7950 Å, b = 4.3283 Å, c = 4.3283 Å
α = 90.00°, β = 90.00°, γ = 90.00°
With the nearest neighbours (Å) after each atom.
Sites, in units of the cell vectors:
Lu1 0.5000 0.5000 0.5000  4 Au 3.06, 8 Hg 3.23
Au1 0.5000 0.0000 0.0000  4 Lu 3.06, 8 Hg 3.23
Hg1 0.0000 0.0000 0.5000  4 Hg 3.06, 4 Au 3.23, 4 Lu 3.23
Hg2 0.0000 0.5000 0.0000  4 Hg 3.06, 4 Lu 3.23, 4 Au 3.23

Formation energy (eV per atom): -0.36
Energy relative to the lowest polymorph listed for this composition (meV/atom): 0
Space-group type: P4/mmm

---

The following is a DFT calculation (GGA-PBE) of crystalline Ca3Pa3CuAs8 at its relaxed geometry.

a = 8.2350 Å, b = 8.2023 Å, c = 8.3229 Å
α = 119.40°, β = 90.00°, γ = 120.13°
With the nearest neighbours (Å) after each atom.
Sites, in units of the cell vectors:
Ca1 0.0000 0.0000 0.0000  6 As 2.97-3.03
Ca2 0.0000 0.5000 0.0000  6 As 2.98-3.04
Ca3 0.5000 0.5000 0.0000  6 As 2.98-3.04
Pa1 0.5000 0.0000 0.5000  6 As 2.82-2.87
Pa2 0.5000 0.5000 0.5000  6 As 2.81-2.87
Pa3 0.0000 0.5000 0.5000  6 As 2.81-2.87
Cu1 0.0000 0.0000 0.5000  2 As 2.58
As1 0.2542 0.5083 0.2630  3 Pa 2.87, 3 Ca 2.97-2.98
As2 0.7458 0.4917 0.7370  3 Pa 2.87, 3 Ca 2.97-2.98
As3 0.7792 0.5584 0.2941  1 Cu 2.58, 2 Pa 2.86
As4 0.2208 0.4416 0.7059  1 Cu 2.58, 2 Pa 2.86
As5 0.7528 0.0182 0.2703  2 Pa 2.81-2.82, 1 Cu 2.90, 2 Ca 3.03
As6 0.2472 0.9818 0.7297  2 Pa 2.81-2.82, 1 Cu 2.90, 2 Ca 3.03
As7 0.2654 0.0182 0.2703  2 Pa 2.81-2.82, 1 Cu 2.90, 2 Ca 3.03
As8 0.7346 0.9818 0.7297  2 Pa 2.81-2.82, 1 Cu 2.90, 2 Ca 3.03

Formation energy (eV per atom): -0.77
Space-group type: C2/m

---

The following is a DFT calculation (GGA-PBE) of crystalline Te3Au5I12 at its relaxed geometry.

a = 16.0613 Å, b = 16.0613 Å, c = 16.0613 Å
α = 109.47°, β = 109.47°, γ = 109.47°
With the nearest neighbours (Å) after each atom.
Sites, in units of the cell vectors:
Te1 0.7500 0.3750 0.1250  4 I 3.14
Te2 0.8750 0.7500 0.1250  4 I 3.14
Te3 0.3750 0.7500 0.6250  4 I 3.14
Te4 0.2500 0.1250 0.3750  4 I 3.14
Te5 0.8750 0.1250 0.2500  4 I 3.14
Te6 0.3750 0.6250 0.2500  4 I 3.14
Te7 0.6250 0.3750 0.7500  4 I 3.14
Te8 0.1250 0.8750 0.7500  4 I 3.14
Te9 0.7500 0.8750 0.6250  4 I 3.14
Te10 0.6250 0.2500 0.3750  4 I 3.14
Te11 0.1250 0.2500 0.8750  4 I 3.14
Te12 0.2500 0.6250 0.8750  4 I 3.14
Au1 0.1250 0.3750 0.2500  4 I 2.81
Au2 0.0000 0.5000 0.0000  6 I 2.99
Au3 0.0000 0.0000 0.0000  6 I 2.99
Au4 0.3750 0.2500 0.1250  4 I 2.81
Au5 0.5000 0.0000 0.5000  6 I 2.99
Au6 0.5000 0.5000 0.0000  6 I 2.99
Au7 0.1250 0.7500 0.3750  4 I 2.81
Au8 0.7500 0.1250 0.8750  4 I 2.81
Au9 0.7500 0.6250 0.3750  4 I 2.81
Au10 0.3750 0.1250 0.7500  4 I 2.81
Au11 0.6250 0.8750 0.2500  4 I 2.81
Au12 0.5000 0.5000 0.5000  6 I 2.99
Au13 0.5000 0.0000 0.0000  6 I 2.99
Au14 0.0000 0.0000 0.5000  6 I 2.99
Au15 0.2500 0.3750 0.6250  4 I 2.81
Au16 0.2500 0.8750 0.1250  4 I 2.81
Au17 0.0000 0.5000 0.5000  6 I 2.99
Au18 0.8750 0.2500 0.6250  4 I 2.81
Au19 0.6250 0.7500 0.8750  4 I 2.81
Au20 0.8750 0.6250 0.7500  4 I 2.81
I1 0.6933 0.1449 0.0252  2 Au 2.81-2.99, 1 Te 3.14
I2 0.3319 0.5252 0.3803  2 Au 2.81-2.99, 1 Te 3.14
I3 0.9748 0.3551 0.3067  2 Au 2.81-2.99, 1 Te 3.14
I4 0.5252 0.1933 0.1449  2 Au 2.81-2.99, 1 Te 3.14
I5 0.5484 0.6933 0.6681  2 Au 2.81-2.99, 1 Te 3.14
I6 0.9748 0.6197 0.1681  2 Au 2.81-2.99, 1 Te 3.14
I7 0.3319 0.8067 0.4516  2 Au 2.81-2.99, 1 Te 3.14
I8 0.1197 0.9516 0.1449  2 Au 2.81-2.99, 1 Te 3.14
I9 0.6197 0.9748 0.6681  2 Au 2.81-2.99, 1 Te 3.14
I10 0.6933 0.5484 0.1681  2 Au 2.81-2.99, 1 Te 3.14
I11 0.8067 0.4748 0.3551  2 Au 2.81-2.99, 1 Te 3.14
I12 0.8319 0.8803 0.0252  2 Au 2.81-2.99, 1 Te 3.14
I13 0.1449 0.6933 0.5252  2 Au 2.81-2.99, 1 Te 3.14
I14 0.3551 0.3803 0.0484  2 Au 2.81-2.99, 1 Te 3.14
I15 0.0484 0.8803 0.3551  2 Au 2.81-2.99, 1 Te 3.14
I16 0.4516 0.1449 0.6197  2 Au 2.81-2.99, 1 Te 3.14
I17 0.0484 0.1681 0.1933  2 Au 2.81-2.99, 1 Te 3.14
I18 0.4748 0.6681 0.1197  2 Au 2.81-2.99, 1 Te 3.14
I19 0.8319 0.9516 0.3067  2 Au 2.81-2.99, 1 Te 3.14
I20 0.1449 0.4516 0.1197  2 Au 2.81-2.99, 1 Te 3.14
I21 0.3551 0.9748 0.8067  2 Au 2.81-2.99, 1 Te 3.14
I22 0.6197 0.6449 0.4516  2 Au 2.81-2.99, 1 Te 3.14
I23 0.8803 0.8319 0.5252  2 Au 2.81-2.99, 1 Te 3.14
I24 0.8067 0.3319 0.9516  2 Au 2.81-2.99, 1 Te 3.14
I25 0.3803 0.3551 0.5484  2 Au 2.81-2.99, 1 Te 3.14
I26 0.1197 0.1681 0.4748  2 Au 2.81-2.99, 1 Te 3.14
I27 0.1933 0.6681 0.0484  2 Au 2.81-2.99, 1 Te 3.14
I28 0.1681 0.0484 0.6933  2 Au 2.81-2.99, 1 Te 3.14
I29 0.6449 0.0252 0.1933  2 Au 2.81-2.99, 1 Te 3.14
I30 0.8551 0.5484 0.8803  2 Au 2.81-2.99, 1 Te 3.14
I31 0.5252 0.3319 0.8803  2 Au 2.81-2.99, 1 Te 3.14
I32 0.5484 0.8551 0.3803  2 Au 2.81-2.99, 1 Te 3.14
I33 0.9516 0.8319 0.8067  2 Au 2.81-2.99, 1 Te 3.14
I34 0.9516 0.1197 0.6449  2 Au 2.81-2.99, 1 Te 3.14
I35 0.8551 0.3067 0.4748  2 Au 2.81-2.99, 1 Te 3.14
I36 0.1681 0.1197 0.9748  2 Au 2.81-2.99, 1 Te 3.14
I37 0.6449 0.6197 0.9516  2 Au 2.81-2.99, 1 Te 3.14
I38 0.3803 0.0252 0.3319  2 Au 2.81-2.99, 1 Te 3.14
I39 0.3067 0.4516 0.8319  2 Au 2.81-2.99, 1 Te 3.14
I40 0.1933 0.5252 0.6449  2 Au 2.81-2.99, 1 Te 3.14
I41 0.8803 0.0484 0.8551  2 Au 2.81-2.99, 1 Te 3.14
I42 0.6681 0.1933 0.5484  2 Au 2.81-2.99, 1 Te 3.14
I43 0.4748 0.8067 0.8551  2 Au 2.81-2.99, 1 Te 3.14
I44 0.0252 0.3803 0.8319  2 Au 2.81-2.99, 1 Te 3.14
I45 0.4516 0.3067 0.3319  2 Au 2.81-2.99, 1 Te 3.14
I46 0.0252 0.6449 0.6933  2 Au 2.81-2.99, 1 Te 3.14
I47 0.6681 0.4748 0.6197  2 Au 2.81-2.99, 1 Te 3.14
I48 0.3067 0.8551 0.9748  2 Au 2.81-2.99, 1 Te 3.14

Formation energy (no corrections) (eV per atom): 0.181
Space-group type: Ia-3d

---

The following is a DFT calculation (GGA-PBE) of crystalline K3Zn2HgF9 at its relaxed geometry.

a = 6.0106 Å, b = 6.0106 Å, c = 7.5159 Å
α = 90.00°, β = 90.00°, γ = 120.00°
With the nearest neighbours (Å) after each atom.
Sites, in units of the cell vectors:
K1 0.3333 0.6667 0.6787  12 F 2.97-3.21
K2 0.0000 0.0000 0.0000  12 F 2.97-3.01
K3 0.6667 0.3333 0.3213  12 F 2.97-3.21
Zn1 0.3333 0.6667 0.1521  6 F 2.04-2.08
Zn2 0.6667 0.3333 0.8479  6 F 2.04-2.08
Hg1 0.0000 0.0000 0.5000  6 F 2.30
F1 0.8251 0.1749 0.6877  1 Zn 2.04
F2 0.8251 0.6502 0.6877  1 Zn 2.04
F3 0.3498 0.1749 0.6877  1 Zn 2.04
F4 0.6502 0.8251 0.3123  1 Zn 2.04
F5 0.1749 0.3498 0.3123  1 Zn 2.04
F6 0.1749 0.8251 0.3123  1 Zn 2.04
F7 0.5000 0.0000 0.0000  2 Zn 2.08
F8 0.0000 0.5000 0.0000  2 Zn 2.08
F9 0.5000 0.5000 0.0000  2 Zn 2.08

Formation energy (no corrections) (eV per atom): -2.358
Space-group type: P-3m1

---

The following is a DFT calculation (GGA-PBE) of crystalline AgB2PdAu at its relaxed geometry.

a = 3.2492 Å, b = 3.2492 Å, c = 6.2215 Å
α = 90.00°, β = 90.00°, γ = 90.00°
With the nearest neighbours (Å) after each atom.
Sites, in units of the cell vectors:
B1 0.0000 0.0000 0.6858  1 B 1.64
B2 0.0000 0.0000 0.4216  1 B 1.64
Au1 0.0000 0.0000 0.0561  2 B 2.27-2.30
Pd1 0.5000 0.5000 0.3393  4 B 2.35
Ag1 0.5000 0.5000 0.7818  4 B 2.37

Formation energy (eV per atom): 0.34
Energy relative to the lowest polymorph listed for this composition (meV/atom): 153
Space-group type: P4mm

---

The following is a DFT calculation (GGA-PBE) of crystalline KBaN2O at its relaxed geometry.

a = 5.3724 Å, b = 5.3724 Å, c = 4.8989 Å
α = 90.00°, β = 90.00°, γ = 90.00°
With the nearest neighbours (Å) after each atom.
Sites, in units of the cell vectors:
K1 0.5000 0.5000 0.5000  8 N 3.64, 4 O 3.80
Ba1 0.0000 0.0000 0.0000  2 O 2.45, 4 N 2.69
O1 0.0000 0.0000 0.5000  2 Ba 2.45
N1 0.0000 0.5000 0.0000  2 Ba 2.69
N2 0.5000 0.0000 0.0000  2 Ba 2.69

Formation energy (no corrections) (eV per atom): 0.705
Space-group type: P4/mmm

---

The following is a DFT calculation (GGA-PBE) of crystalline Ca2YBeIr at its relaxed geometry.

a = 6.1419 Å, b = 4.8725 Å, c = 6.1419 Å
α = 90.00°, β = 90.00°, γ = 90.00°
With the nearest neighbours (Å) after each atom.
Sites, in units of the cell vectors:
Y1 0.0000 0.0000 0.0000  2 Ir 2.44
Be1 0.5000 0.5000 0.5000  8 Ca 3.92, 4 Ir 4.34
Ca1 0.0000 0.0000 0.5000  2 Y 3.07
Ca2 0.5000 0.0000 0.0000  2 Y 3.07
Ir1 0.0000 0.5000 0.0000  2 Y 2.44

Formation energy (eV per atom): 1.31
Space-group type: P4/mmm

---

no.,total moment (μB per cell),density of states at the Fermi level (states/eV/f.u.)
1,0.000,3.157
2,0.699,4.202
3,0.000,1.999
4,0.000,4.569
5,0.000,2.430
6,0.000,4.357
7,0.000,13.575
8,0.000,0.000
9,0.000,2.324
10,5.010,3.356
11,0.000,5.533